--- A ---
PBE CeThCoNi, relaxed; mass density = 9.9 g cm⁻³
1.0
-0.500 -3.522 -0.988
1.881 0.728 -3.546
5.042 0.443 2.766
Co Th Ni Ce
1 1 1 1
direct
0.407 0.000 0.813
0.140 0.000 0.280
0.583 0.500 0.166
0.871 0.500 0.742

---

--- B ---
PBE CeThCoNi, relaxed; mass density = 10.1 g cm⁻³
1.0
4.851 0.000 0.000
2.425 4.201 0.000
2.425 1.400 3.960
Ce Co Ni Th
1 1 1 1
direct
0.500 0.500 0.500
0.750 0.750 0.750
0.250 0.250 0.250
0.000 0.000 0.000

---

The energetic minimum among the shown structures is A; the next structure lies 15.3 kJ/mol of atoms above.